# 1
# CeErGaSi | the Alexandria database | PBE | relaxed
# Mass density = 7.46 Mg/m³
# Total moment = 3.38 μB/cell
# Relative energy among the computed polymorphs = 14.4 kJ per mole of atoms
# Formation energy without anion corrections = -0.49 eV per atom
data_CeErGaSi
_chemical_formula_sum 'Ce4 Er4 Ga4 Si4'
_cell_length_a 7.120
_cell_length_b 7.120
_cell_length_c 7.120
_cell_angle_alpha 90.00
_cell_angle_beta 90.00
_cell_angle_gamma 90.00
_symmetry_space_group_name_H-M 'F -4 3 m'
_symmetry_Int_Tables_number 216
_symmetry_space_group_name_Hall 'F -4 2 3'
loop_
_atom_site_label
_atom_site_type_symbol
_atom_site_fract_x
_atom_site_fract_y
_atom_site_fract_z
Ce1 Ce 0.000 0.000 0.000
Er1 Er 0.000 0.000 0.500
Ga1 Ga 0.250 0.250 0.250
Si1 Si 0.250 0.250 0.750

---

# 2
# AlRh2 | the Alexandria database | PBE | relaxed
# Mass density = 8.17 Mg/m³
# Calculated formation energy = -0.332 eV/atom
# Total moment = 0.00 μB/cell
data_AlRh2
_chemical_formula_sum 'Al4 Rh8'
_cell_length_a 5.740
_cell_length_b 5.740
_cell_length_c 5.740
_cell_angle_alpha 90.00
_cell_angle_beta 90.00
_cell_angle_gamma 90.00
_symmetry_space_group_name_H-M 'F m -3 m'
_symmetry_Int_Tables_number 225
_symmetry_space_group_name_Hall '-F 4 2 3'
loop_
_atom_site_label
_atom_site_type_symbol
_atom_site_fract_x
_atom_site_fract_y
_atom_site_fract_z
Al1 Al 0.000 0.000 0.000
Rh1 Rh 0.250 0.250 0.250

---

# 3
# Co2TeRh | the Alexandria database | PBE | relaxed
# Mass density = 9.75 Mg/m³
# Total moment = 6.71 μB/cell
# Formation energy without anion corrections = 0.29 eV per atom
data_Co2TeRh
_chemical_formula_sum 'Co4 Te2 Rh2'
_cell_length_a 8.677
_cell_length_b 3.058
_cell_length_c 4.583
_cell_angle_alpha 90.00
_cell_angle_beta 102.56
_cell_angle_gamma 90.00
_symmetry_space_group_name_H-M 'C 1 2/m 1'
_symmetry_Int_Tables_number 12
_symmetry_space_group_name_Hall '-C 2y'
loop_
_atom_site_label
_atom_site_type_symbol
_atom_site_fract_x
_atom_site_fract_y
_atom_site_fract_z
Co1 Co 0.246 0.000 0.225
Te1 Te 0.000 0.000 0.500
Rh1 Rh 0.000 0.500 0.000

---

Repeat the second record exactly.
# AlRh2 | the Alexandria database | PBE | relaxed
# Mass density = 8.17 Mg/m³
# Calculated formation energy = -0.332 eV/atom
# Total moment = 0.00 μB/cell
data_AlRh2
_chemical_formula_sum 'Al4 Rh8'
_cell_length_a 5.740
_cell_length_b 5.740
_cell_length_c 5.740
_cell_angle_alpha 90.00
_cell_angle_beta 90.00
_cell_angle_gamma 90.00
_symmetry_space_group_name_H-M 'F m -3 m'
_symmetry_Int_Tables_number 225
_symmetry_space_group_name_Hall '-F 4 2 3'
loop_
_atom_site_label
_atom_site_type_symbol
_atom_site_fract_x
_atom_site_fract_y
_atom_site_fract_z
Al1 Al 0.000 0.000 0.000
Rh1 Rh 0.250 0.250 0.250

---

Please write out number 2 again, unchanged.
# AlRh2 | the Alexandria database | PBE | relaxed
# Mass density = 8.17 Mg/m³
# Calculated formation energy = -0.332 eV/atom
# Total moment = 0.00 μB/cell
data_AlRh2
_chemical_formula_sum 'Al4 Rh8'
_cell_length_a 5.740
_cell_length_b 5.740
_cell_length_c 5.740
_cell_angle_alpha 90.00
_cell_angle_beta 90.00
_cell_angle_gamma 90.00
_symmetry_space_group_name_H-M 'F m -3 m'
_symmetry_Int_Tables_number 225
_symmetry_space_group_name_Hall '-F 4 2 3'
loop_
_atom_site_label
_atom_site_type_symbol
_atom_site_fract_x
_atom_site_fract_y
_atom_site_fract_z
Al1 Al 0.000 0.000 0.000
Rh1 Rh 0.250 0.250 0.250

---

What is the total moment in the third record? 6.71 μB/cell